Entry 1:
A plane-wave DFT calculation with PBE was carried out for a geometry-optimized Sm6P2SeCl3 structure.

calculated volume = 24.9 Å³ per atom
energy relative to the elements, uncorrected = -1575 meV per atom
energy = -67.05 eV/f.u.

Structure (CIF):
```
data_Sm6P2SeCl3
_symmetry_space_group_name_H-M 'P 1'
_symmetry_Int_Tables_number 1
_cell_length_a 9.2063
_cell_length_b 9.2063
_cell_length_c 8.2474
_cell_angle_alpha 102.45
_cell_angle_beta 102.45
_cell_angle_gamma 25.95
loop_
_symmetry_equiv_pos_as_xyz
'x,y,z'
loop_
_atom_site_label
_atom_site_fract_x
_atom_site_fract_y
_atom_site_fract_z
Sm1 0.0113 0.0113 0.2433
Sm2 0.3259 0.3259 0.4362
Sm3 0.3364 0.3364 0.8891
Sm4 0.6636 0.6636 0.1109
Sm5 0.6741 0.6741 0.5638
Sm6 0.9887 0.9887 0.7567
P1 0.1682 0.1682 0.3358
P2 0.8318 0.8318 0.6642
Se1 0.5000 0.5000 0.0000
Cl1 0.1666 0.1666 0.8351
Cl2 0.5000 0.5000 0.5000
Cl3 0.8334 0.8334 0.1649
```


Entry 2:
A plane-wave DFT calculation with PBE was carried out for a geometry-optimized SnP2SeCl structure.

calculated volume = 23.8 Å³ per atom
energy relative to the elements, uncorrected = 618 meV per atom
energy above the lowest structure with this stoichiometry = 0.000 eV per formula unit
energy = -17.06 eV/f.u.

Structure (CIF):
```
data_SnP2SeCl
_symmetry_space_group_name_H-M 'P 1'
_symmetry_Int_Tables_number 1
_cell_length_a 4.8765
_cell_length_b 4.8765
_cell_length_c 5.0037
_cell_angle_alpha 90.00
_cell_angle_beta 90.00
_cell_angle_gamma 90.00
loop_
_symmetry_equiv_pos_as_xyz
'x,y,z'
loop_
_atom_site_label
_atom_site_fract_x
_atom_site_fract_y
_atom_site_fract_z
Sn1 0.0000 0.0000 0.0000
P1 0.0000 0.5000 0.5000
P2 0.5000 0.0000 0.5000
Se1 0.5000 0.5000 0.5000
Cl1 0.5000 0.5000 0.0000
```


Entry 3:
A plane-wave DFT calculation with PBE was carried out for a geometry-optimized Sr4PSe2Cl structure.

calculated volume = 30.8 Å³ per atom
energy relative to the elements, uncorrected = -1871 meV per atom
energy = -35.92 eV/f.u.

Structure (CIF):
```
data_Sr4PSe2Cl
_symmetry_space_group_name_H-M 'P 1'
_symmetry_Int_Tables_number 1
_cell_length_a 6.2196
_cell_length_b 6.2196
_cell_length_c 12.7189
_cell_angle_alpha 90.00
_cell_angle_beta 90.00
_cell_angle_gamma 90.00
loop_
_symmetry_equiv_pos_as_xyz
'x,y,z'
loop_
_atom_site_label
_atom_site_fract_x
_atom_site_fract_y
_atom_site_fract_z
Sr1 0.0000 0.0000 0.2318
Sr2 0.0000 0.0000 0.7682
Sr3 0.0000 0.5000 0.0000
Sr4 0.0000 0.5000 0.5000
Sr5 0.5000 0.0000 0.0000
Sr6 0.5000 0.0000 0.5000
Sr7 0.5000 0.5000 0.2682
Sr8 0.5000 0.5000 0.7318
P1 0.0000 0.0000 0.0000
P2 0.5000 0.5000 0.5000
Se1 0.0000 0.5000 0.2500
Se2 0.0000 0.5000 0.7500
Se3 0.5000 0.0000 0.2500
Se4 0.5000 0.0000 0.7500
Cl1 0.0000 0.0000 0.5000
Cl2 0.5000 0.5000 0.0000
```


What did the first record say?
A plane-wave DFT calculation with PBE was carried out for a geometry-optimized Sm6P2SeCl3 structure.

calculated volume = 24.9 Å³ per atom
energy relative to the elements, uncorrected = -1575 meV per atom
energy = -67.05 eV/f.u.

Structure (CIF):
```
data_Sm6P2SeCl3
_symmetry_space_group_name_H-M 'P 1'
_symmetry_Int_Tables_number 1
_cell_length_a 9.2063
_cell_length_b 9.2063
_cell_length_c 8.2474
_cell_angle_alpha 102.45
_cell_angle_beta 102.45
_cell_angle_gamma 25.95
loop_
_symmetry_equiv_pos_as_xyz
'x,y,z'
loop_
_atom_site_label
_atom_site_fract_x
_atom_site_fract_y
_atom_site_fract_z
Sm1 0.0113 0.0113 0.2433
Sm2 0.3259 0.3259 0.4362
Sm3 0.3364 0.3364 0.8891
Sm4 0.6636 0.6636 0.1109
Sm5 0.6741 0.6741 0.5638
Sm6 0.9887 0.9887 0.7567
P1 0.1682 0.1682 0.3358
P2 0.8318 0.8318 0.6642
Se1 0.5000 0.5000 0.0000
Cl1 0.1666 0.1666 0.8351
Cl2 0.5000 0.5000 0.5000
Cl3 0.8334 0.8334 0.1649
```


> Among the records above, which one has the highest energy relative to the elements, uncorrected?

SnP2SeCl


> Look up the calculated volume of the third one.

30.8 Å³ per atom


> Look up the energy relative to the elements, uncorrected of the third one.

-1871 meV per atom